A plane-wave DFT calculation with PBE-GGA was carried out for a relaxed DyErZnRu crystal.

Cell lengths 4.8914, 4.8914, 4.8914 Å; angles 60.00, 60.00, 60.00 degrees
With the nearest neighbours (Å) after each atom.
Sites, in units of the cell vectors:
Dy 0.0000 0.0000 0.0000  4 Ru 3.00, 4 Zn 3.00
Er 0.5000 0.5000 0.5000  4 Ru 3.00, 4 Zn 3.00
Zn 0.7500 0.7500 0.7500  4 Er 3.00, 4 Dy 3.00
Ru 0.2500 0.2500 0.2500  4 Dy 3.00, 4 Er 3.00

## Properties
The crystal system is cubic. The energy above the lowest structure with this stoichiometry is 42 meV per atom. As for the calculated formation energy: -0.378 eV/atom. The total DFT energy (no corrections) comes out at -5.3072 eV per atom. As for the space group: F-43m.